# 1
Compound: KTcAgS3
Source: OQMD via LeMat-Bulk
Functional: PBE
Structure: relaxed

Offset from the most stable computed form: 0.347 eV/f.u.

POSCAR file:
```
KTcAgS3
1.0
8.036 0.000 0.000
0.000 3.719 0.000
-3.338 0.000 8.921
K Tc Ag S
2 2 2 6
direct
0.248 0.250 0.276 K
0.752 0.750 0.724 K
0.323 0.750 0.853 Tc
0.677 0.250 0.147 Tc
0.067 0.250 0.613 Ag
0.933 0.750 0.387 Ag
0.132 0.250 0.884 S
0.277 0.750 0.584 S
0.463 0.750 0.125 S
0.537 0.250 0.875 S
0.723 0.250 0.416 S
0.868 0.750 0.116 S
```

# 2
Compound: YHoCI
Source: OQMD via LeMat-Bulk
Functional: PBE
Structure: relaxed

DFT total energy: -6.20 eV per atom

POSCAR file:
```
YHoCI
1.0
1.884 1.088 7.390
-1.884 1.088 7.390
0.000 -2.175 7.390
Y Ho C I
1 1 1 1
direct
0.000 0.000 0.000 Y
0.445 0.445 0.445 Ho
0.724 0.724 0.724 C
0.222 0.222 0.222 I
```

# 3
Compound: ScCd2Bi
Source: OQMD via LeMat-Bulk
Functional: PBE
Structure: relaxed

DFT total energy: -3.10 eV per atom

POSCAR file:
```
ScCd2Bi
1.0
0.000 3.667 3.667
3.667 0.000 3.667
3.667 3.667 0.000
Sc Cd Bi
1 2 1
direct
0.000 0.000 0.000 Sc
0.250 0.250 0.250 Cd
0.500 0.500 0.500 Cd
0.750 0.750 0.750 Bi
```

# 4
Compound: BaNaNdS3
Source: OQMD via LeMat-Bulk
Functional: PBE
Structure: relaxed

DFT total energy: -5.15 eV per atom

POSCAR file:
```
BaNaNdS3
1.0
2.164 -6.945 0.000
2.164 6.945 0.000
0.000 0.000 10.724
Ba Na Nd S
2 2 2 6
direct
0.245 0.755 0.750 Ba
0.755 0.245 0.250 Ba
0.025 0.975 0.250 Na
0.975 0.025 0.750 Na
0.500 0.500 0.000 Nd
0.500 0.500 0.500 Nd
0.133 0.867 0.052 S
0.133 0.867 0.448 S
0.421 0.579 0.250 S
0.579 0.421 0.750 S
0.867 0.133 0.552 S
0.867 0.133 0.948 S
```

Q: Which volume values were calculated for the entries above? A: 22.2, 22.7, 24.7, 26.9, in Å³/atom.